Run a
A geometry-optimized Pm6HRu2 structure. Source: Alexandria, functional PBE.

Properties
Symmetry: No. 12
D(E_F), states/eV/f.u.: 8.0
Mass density, Mg/m³: 7.22
Total magnetization, μB/atom: 0.000

Structure (POSCAR):
```
Pm6HRu2
1.0
6.435 -1.856 0.000
6.435 1.856 0.000
-3.908 0.000 10.330
Pm H Ru
6 1 2
Cartesian
-0.849 0.000 2.733
0.038 0.000 6.302
0.761 0.000 9.803
8.201 0.000 0.527
8.924 0.000 4.028
9.811 0.000 7.597
-1.954 0.000 5.165
3.466 0.000 2.059
5.496 0.000 8.270
```

Run b
A geometry-optimized Pm6HRu2 structure. Source: Alexandria, functional PBE.

Properties
Symmetry: No. 14
D(E_F), states/eV/f.u.: 8.1
Mass density, Mg/m³: 7.75
Total magnetization, μB/atom: 0.000

Structure (POSCAR):
```
Pm6HRu2
1.0
6.436 0.000 0.000
0.000 7.357 0.000
-6.216 0.000 9.718
Pm H Ru
12 2 4
Cartesian
-2.031 1.310 4.223
-5.139 2.369 9.081
-0.994 4.948 4.187
-4.102 6.088 9.046
0.970 0.301 2.417
-2.138 3.377 7.276
2.357 3.980 2.442
-0.751 7.056 7.301
4.322 1.269 0.672
1.214 2.409 5.531
5.359 4.989 0.636
2.250 6.047 5.495
0.000 0.000 0.000
-3.108 3.679 4.859
-3.394 0.845 7.164
-0.286 2.833 2.305
0.506 4.524 7.413
3.614 6.512 2.554
```

Relative energies with respect to the most stable structure, expressed in meV/atom: run a 126; run b 0.

Run a
A geometry-optimized PmH4Ru structure. Source: Alexandria, functional PBE.

Properties
Symmetry: No. 63
D(E_F), states/eV/f.u.: 1.2
Mass density, Mg/m³: 7.24
Total magnetization, μB/atom: 0.000

Structure (POSCAR):
```
PmH4Ru
1.0
1.946 -5.990 0.000
1.946 5.990 0.000
0.000 0.000 4.918
Pm H Ru
2 8 2
Cartesian
1.946 4.438 3.689
1.946 -4.438 1.230
1.946 4.832 1.230
1.946 2.363 2.467
1.946 2.363 4.911
1.946 0.000 0.000
1.946 0.000 2.459
1.946 -2.363 0.007
1.946 -2.363 2.452
1.946 -4.832 3.689
1.946 1.197 3.689
1.946 -1.197 1.230
```

Run b
A geometry-optimized PmH4Ru structure. Source: Alexandria, functional PBE.

Properties
Symmetry: No. 15
D(E_F), states/eV/f.u.: 0.2
Mass density, Mg/m³: 6.46
Total magnetization, μB/atom: 0.000

Structure (POSCAR):
```
PmH4Ru
1.0
2.571 -4.700 0.000
2.571 4.700 0.000
-1.785 0.000 5.321
Pm H Ru
2 8 2
Cartesian
1.232 3.395 3.990
2.125 -3.395 1.330
-0.387 0.706 3.539
0.506 -0.706 0.878
2.479 1.160 0.182
1.771 1.160 2.478
1.586 -1.160 2.842
0.878 -1.160 5.139
2.852 0.706 4.442
3.744 -0.706 1.782
1.232 0.463 3.990
2.125 -0.463 1.330
```

Relative energies with respect to the most stable structure, expressed in meV/atom: run a 0; run b 94.

Run a
A geometry-optimized PmHRu structure. Source: Alexandria, functional PBE.

Properties
Symmetry: No. 156
D(E_F), states/eV/f.u.: 1.7
Mass density, Mg/m³: 9.09
Total magnetization, μB/atom: 0.000

Structure (POSCAR):
```
PmHRu
1.0
3.379 0.000 0.000
-1.689 2.926 0.000
0.000 0.000 4.564
Pm H Ru
1 1 1
Cartesian
0.000 0.000 0.000
0.000 1.951 2.291
1.689 0.975 2.283
```

Run b
A geometry-optimized PmHRu structure. Source: Alexandria, functional PBE.

Properties
Symmetry: No. 107
D(E_F), states/eV/f.u.: 1.5
Mass density, Mg/m³: 7.81
Total magnetization, μB/atom: 0.000

Structure (POSCAR):
```
PmHRu
1.0
-1.795 1.795 4.076
1.795 -1.795 4.076
1.795 1.795 -4.076
Pm H Ru
1 1 1
Cartesian
0.000 0.000 0.000
0.000 0.000 3.792
0.000 0.000 5.465
```

Relative energies with respect to the most stable structure, expressed in meV/atom: run a 0; run b 169.

Run a
A geometry-optimized PmH6Ru2 structure. Source: Alexandria, functional PBE.

Properties
Symmetry: No. 12
D(E_F), states/eV/f.u.: 4.2
Mass density, Mg/m³: 6.99
Total magnetization, μB/atom: 0.000

Structure (POSCAR):
```
PmH6Ru2
1.0
2.876 -3.073 0.000
2.876 3.073 0.000
-1.718 0.000 4.748
Pm H Ru
1 6 2
Cartesian
0.000 0.000 0.000
0.533 1.188 3.397
1.894 0.000 1.462
0.533 -1.188 3.397
3.501 1.188 1.351
2.140 0.000 3.286
3.501 -1.188 1.351
2.017 1.514 2.374
2.017 -1.514 2.374
```

Run b
A geometry-optimized PmH6Ru2 structure. Source: Alexandria, functional PBE.

Properties
Symmetry: No. 12
D(E_F), states/eV/f.u.: 3.2
Mass density, Mg/m³: 6.85
Total magnetization, μB/atom: 0.000

Structure (POSCAR):
```
PmH6Ru2
1.0
4.089 -1.844 0.000
4.089 1.844 0.000
-2.822 0.000 5.679
Pm H Ru
1 6 2
Cartesian
0.000 0.000 0.000
-1.738 0.000 3.692
-0.225 0.000 5.208
1.391 0.000 2.082
3.965 0.000 3.597
5.580 0.000 0.471
7.093 0.000 1.987
-0.065 0.000 3.539
5.420 0.000 2.140
```

Relative energies with respect to the most stable structure, expressed in meV/atom: run a 0; run b 46.

Run a
A geometry-optimized PmHS2 structure. Source: Alexandria, functional PBE.

Properties
Symmetry: No. 166
D(E_F), states/eV/f.u.: 0.0
Mass density, Mg/m³: 3.66
Total magnetization, μB/atom: 0.000

Structure (POSCAR):
```
PmHS2
1.0
2.119 1.224 6.122
-2.119 1.224 6.122
0.000 -2.447 6.122
Pm H S
1 1 2
Cartesian
0.000 0.000 0.000
0.000 0.000 9.184
0.000 0.000 7.553
0.000 0.000 10.814
```

Run b
A geometry-optimized PmHS2 structure. Source: Alexandria, functional PBE.

Properties
Symmetry: No. 14
D(E_F), states/eV/f.u.: 0.0
Mass density, Mg/m³: 4.61
Total magnetization, μB/atom: 0.000

Structure (POSCAR):
```
PmHS2
1.0
5.321 0.000 0.000
0.000 7.573 0.000
-0.939 0.000 7.513
Pm H S
4 4 8
Cartesian
0.590 0.345 2.256
0.120 3.442 6.012
4.262 4.131 1.500
3.792 7.228 5.257
1.573 5.088 4.125
2.042 6.272 0.369
2.340 1.301 7.143
2.809 2.485 3.387
0.284 5.367 3.758
0.754 5.993 0.002
1.112 0.867 5.063
1.582 2.920 1.307
2.800 4.653 6.206
3.270 6.707 2.450
3.628 1.580 7.511
4.098 2.206 3.755
```

Relative energies with respect to the most stable structure, expressed in meV/atom: run a 27; run b 0.

Run a
A geometry-optimized PmSbH structure. Source: Alexandria, functional PBE.

Properties
Symmetry: No. 62
D(E_F), states/eV/f.u.: 1.3
Mass density, Mg/m³: 6.53
Total magnetization, μB/atom: 0.000

Structure (POSCAR):
```
PmSbH
1.0
6.325 0.000 0.000
0.000 6.413 0.000
0.000 0.000 6.718
Pm Sb H
4 4 4
Cartesian
1.492 1.603 0.293
1.670 4.810 3.652
4.654 1.603 3.066
4.833 4.810 6.425
1.553 1.603 3.679
1.609 4.810 0.320
4.715 1.603 6.398
4.772 4.810 3.039
0.291 1.603 2.075
2.871 4.810 5.434
3.453 1.603 1.284
6.034 4.810 4.643
```

Run b
A geometry-optimized PmSbH structure. Source: Alexandria, functional PBE.

Properties
Symmetry: No. 107
D(E_F), states/eV/f.u.: 1.7
Mass density, Mg/m³: 7.05
Total magnetization, μB/atom: 0.000

Structure (POSCAR):
```
PmSbH
1.0
-1.665 1.665 5.692
1.665 -1.665 5.692
1.665 1.665 -5.692
Pm Sb H
1 1 1
Cartesian
0.000 0.000 0.000
0.000 0.000 3.254
0.000 0.000 6.319
```

Run c
A geometry-optimized PmSbH structure. Source: Alexandria, functional PBE.

Properties
Symmetry: No. 139
D(E_F), states/eV/f.u.: 1.5
Mass density, Mg/m³: 6.61
Total magnetization, μB/atom: 0.000

Structure (POSCAR):
```
PmSbH
1.0
-2.153 2.153 7.259
2.153 -2.153 7.259
2.153 2.153 -7.259
Pm Sb H
2 2 2
Cartesian
0.000 0.000 2.412
0.000 0.000 12.106
2.153 0.000 0.000
0.000 2.153 0.000
2.153 0.000 3.630
0.000 2.153 3.630
```

Relative energies with respect to the most stable structure, expressed in meV/atom: run a 54; run b 95; run c 0.

Run a
A geometry-optimized Pm2SbH2 structure. Source: Alexandria, functional PBE.

Properties
Symmetry: No. 70
D(E_F), states/eV/f.u.: 1.9
Mass density, Mg/m³: 7.20
Total magnetization, μB/atom: 0.000

Structure (POSCAR):
```
Pm2SbH2
1.0
0.000 5.113 5.665
3.292 0.000 5.665
3.292 5.113 0.000
Pm Sb H
4 2 4
Cartesian
2.469 0.640 4.249
4.116 3.196 7.081
2.469 7.029 4.249
4.116 9.586 7.081
2.469 3.835 4.249
4.116 6.391 7.081
0.823 1.278 0.072
0.823 1.278 2.760
5.762 8.947 8.570
5.762 8.947 11.258
```

Run b
A geometry-optimized Pm2SbH2 structure. Source: Alexandria, functional PBE.

Properties
Symmetry: No. 139
D(E_F), states/eV/f.u.: 2.1
Mass density, Mg/m³: 7.19
Total magnetization, μB/atom: 0.082

Structure (POSCAR):
```
Pm2SbH2
1.0
-1.985 1.985 6.062
1.985 -1.985 6.062
1.985 1.985 -6.062
Pm Sb H
2 1 2
Cartesian
0.000 0.000 1.732
0.000 0.000 10.392
0.000 0.000 6.062
1.985 0.000 3.031
0.000 1.985 3.031
```

Relative energies with respect to the most stable structure, expressed in meV/atom: run a 46; run b 0.

Run a
A geometry-optimized Pm3SbH structure. Source: Alexandria, functional PBE.

Properties
Symmetry: No. 36
D(E_F), states/eV/f.u.: 4.4
Mass density, Mg/m³: 7.06
Total magnetization, μB/atom: 0.000

Structure (POSCAR):
```
Pm3SbH
1.0
2.221 -7.495 0.000
2.221 7.495 0.000
0.000 0.000 7.881
Pm Sb H
6 2 2
Cartesian
2.221 6.750 3.941
2.221 3.912 7.693
2.221 1.415 5.343
2.221 -1.415 1.402
2.221 -3.912 3.753
2.221 -6.750 0.000
2.221 1.667 2.231
2.221 -1.667 6.171
2.221 6.494 1.546
2.221 -6.494 5.486
```

Run b
A geometry-optimized Pm3SbH structure. Source: Alexandria, functional PBE.

Properties
Symmetry: No. 221
D(E_F), states/eV/f.u.: 4.3
Mass density, Mg/m³: 7.80
Total magnetization, μB/atom: 0.000

Structure (POSCAR):
```
Pm3SbH
1.0
4.915 0.000 0.000
0.000 4.915 0.000
0.000 0.000 4.915
Pm Sb H
3 1 1
Cartesian
0.000 0.000 2.457
0.000 2.457 0.000
2.457 0.000 0.000
2.457 2.457 2.457
0.000 0.000 0.000
```

Relative energies with respect to the most stable structure, expressed in meV/atom: run a 89; run b 0.

Run a
A geometry-optimized Pm4Sb2H structure. Source: Alexandria, functional PBE.

Properties
Symmetry: No. 11
D(E_F), states/eV/f.u.: 5.9
Mass density, Mg/m³: 7.23
Total magnetization, μB/atom: 0.000

Structure (POSCAR):
```
Pm4Sb2H
1.0
6.816 0.000 0.000
0.000 6.484 0.000
-2.765 0.000 8.564
Pm Sb H
8 4 2
Cartesian
-0.683 0.019 2.478
-0.683 3.223 2.478
2.307 4.863 0.572
1.176 4.863 5.478
2.875 1.621 3.086
1.744 1.621 7.992
4.735 3.261 6.087
4.735 6.465 6.087
1.326 1.621 0.326
0.499 1.621 5.079
3.553 4.863 3.485
2.726 4.863 8.238
-0.656 4.863 6.866
4.707 1.621 1.698
```

Run b
A geometry-optimized Pm4Sb2H structure. Source: Alexandria, functional PBE.

Properties
Symmetry: No. 139
D(E_F), states/eV/f.u.: 7.3
Mass density, Mg/m³: 7.46
Total magnetization, μB/atom: 0.000

Structure (POSCAR):
```
Pm4Sb2H
1.0
-2.290 2.290 8.758
2.290 -2.290 8.758
2.290 2.290 -8.758
Pm Sb H
4 2 1
Cartesian
2.290 0.000 0.000
0.000 0.000 3.127
0.000 2.290 0.000
0.000 0.000 14.389
0.000 0.000 6.344
0.000 0.000 11.171
0.000 0.000 0.000
```

Relative energies with respect to the most stable structure, expressed in meV/atom: run a 36; run b 0.

Run a
A geometry-optimized Pm2ScH structure. Source: Alexandria, functional PBE.

Properties
Symmetry: No. 123
D(E_F), states/eV/f.u.: 4.0
Mass density, Mg/m³: 6.00
Total magnetization, μB/atom: 0.000

Structure (POSCAR):
```
Pm2ScH
1.0
3.348 0.000 0.000
0.000 3.348 0.000
0.000 0.000 8.296
Pm Sc H
2 1 1
Cartesian
0.000 0.000 1.633
0.000 0.000 6.663
1.674 1.674 4.148
1.674 1.674 0.000
```

Run b
A geometry-optimized Pm2ScH structure. Source: Alexandria, functional PBE.

Properties
Symmetry: No. 166
D(E_F), states/eV/f.u.: 5.6
Mass density, Mg/m³: 5.79
Total magnetization, μB/atom: 0.096

Structure (POSCAR):
```
Pm2ScH
1.0
1.734 1.001 9.253
-1.734 1.001 9.253
0.000 -2.002 9.253
Pm Sc H
2 1 1
Cartesian
0.000 0.000 3.180
0.000 0.000 24.580
0.000 0.000 0.000
0.000 0.000 13.880
```

Relative energies with respect to the most stable structure, expressed in meV/atom: run a 27; run b 0.

Run a
A geometry-optimized PmScH structure. Source: Alexandria, functional PBE.

Properties
Symmetry: No. 156
D(E_F), states/eV/f.u.: 3.4
Mass density, Mg/m³: 5.40
Total magnetization, μB/atom: 0.000

Structure (POSCAR):
```
PmScH
1.0
3.488 0.000 0.000
-1.744 3.021 0.000
0.000 0.000 5.571
Pm Sc H
1 1 1
Cartesian
0.000 0.000 0.000
1.744 1.007 2.873
0.000 2.014 4.027
```

Run b
A geometry-optimized PmScH structure. Source: Alexandria, functional PBE.

Properties
Symmetry: No. 153
D(E_F), states/eV/f.u.: 1.8
Mass density, Mg/m³: 4.98
Total magnetization, μB/atom: 0.000

Structure (POSCAR):
```
PmScH
1.0
6.309 0.000 0.000
-3.154 5.464 0.000
0.000 0.000 5.537
Pm Sc H
3 3 3
Cartesian
0.000 2.008 1.846
-1.416 4.460 3.692
1.416 4.460 0.000
2.004 1.157 0.000
4.305 1.157 3.692
3.154 3.149 1.846
3.154 0.978 1.846
2.424 2.243 3.692
3.885 2.243 0.000
```

Relative energies with respect to the most stable structure, expressed in meV/atom: run a 0; run b 375.

Run a
A geometry-optimized PmHSe structure. Source: Alexandria, functional PBE.

Properties
Symmetry: No. 12
Mass density, Mg/m³: 5.44
Total magnetization, μB/atom: 0.000

Structure (POSCAR):
```
PmHSe
1.0
5.263 -2.014 0.000
5.263 2.014 0.000
-1.597 0.000 6.475
Pm H Se
2 2 2
Cartesian
0.196 0.000 1.865
8.734 0.000 4.609
-0.505 0.000 6.387
9.435 0.000 0.088
3.130 0.000 2.333
5.800 0.000 4.142
```

Run b
A geometry-optimized PmHSe structure. Source: Alexandria, functional PBE.

Properties
Symmetry: No. 216
D(E_F), states/eV/f.u.: 0.0
Mass density, Mg/m³: 5.34
Total magnetization, μB/atom: 0.000

Structure (POSCAR):
```
PmHSe
1.0
0.000 3.270 3.270
3.270 0.000 3.270
3.270 3.270 0.000
Pm H Se
1 1 1
Cartesian
0.000 0.000 0.000
1.635 1.635 1.635
4.905 4.905 4.905
```

Relative energies with respect to the most stable structure, expressed in meV/atom: run a 100; run b 0.